No. 1
Density functional theory data (PBE) for a relaxed structure of UTeS.

Calculated values
V = 374.4 Å³ per cell
distance to the lowest polymorph of the same formula = 26 meV per atom
energy = -86.64 eV per cell
formation energy from raw total energies = -1.034 eV per atom

a = 7.6963 Å, b = 4.4435 Å, c = 11.2794 Å
α = 90.00°, β = 103.93°, γ = 90.00°
Element x y z (fractional)
1 U 0.2251 0.0000 0.1647
2 U 0.2749 0.5000 0.8353
3 U 0.7251 0.5000 0.1647
4 U 0.7749 0.0000 0.8353
5 Te 0.1156 0.5000 0.3267
6 Te 0.3844 0.0000 0.6733
7 Te 0.6156 0.0000 0.3267
8 Te 0.8844 0.5000 0.6733
9 S 0.1349 0.0000 0.9109
10 S 0.3651 0.5000 0.0891
11 S 0.6349 0.5000 0.9109
12 S 0.8651 0.0000 0.0891

---

No. 2
Density functional theory data (PBE) for a relaxed structure of UTeS2.

Calculated values
V = 415.6 Å³ per cell
distance to the lowest polymorph of the same formula = 0 meV per atom
energy = -105.22 eV per cell
formation energy from raw total energies = -0.905 eV per atom

a = 3.6094 Å, b = 28.1544 Å, c = 4.0895 Å
α = 90.00°, β = 90.00°, γ = 90.00°
Element x y z (fractional)
1 U 0.0000 0.1890 0.2500
2 U 0.0000 0.8110 0.7500
3 U 0.5000 0.3110 0.7500
4 U 0.5000 0.6890 0.2500
5 Te 0.0000 0.4644 0.2500
6 Te 0.0000 0.5356 0.7500
7 Te 0.5000 0.0356 0.7500
8 Te 0.5000 0.9644 0.2500
9 S 0.0000 0.2882 0.2500
10 S 0.0000 0.3800 0.7500
11 S 0.0000 0.6200 0.2500
12 S 0.0000 0.7118 0.7500
13 S 0.5000 0.1200 0.2500
14 S 0.5000 0.2118 0.7500
15 S 0.5000 0.7882 0.2500
16 S 0.5000 0.8800 0.7500

---

No. 3
Density functional theory data (PBE) for a relaxed structure of UTeS.

Calculated values
V = 148.7 Å³ per cell
distance to the lowest polymorph of the same formula = 24 meV per atom
energy = -43.33 eV per cell
formation energy from raw total energies = -1.036 eV per atom

a = 4.3580 Å, b = 4.3580 Å, c = 7.8318 Å
α = 90.00°, β = 90.00°, γ = 90.00°
Element x y z (fractional)
1 U 0.2500 0.2500 0.2092
2 U 0.7500 0.7500 0.7908
3 Te 0.2500 0.2500 0.6250
4 Te 0.7500 0.7500 0.3750
5 S 0.2500 0.7500 0.0000
6 S 0.7500 0.2500 0.0000

---

No. 4
Density functional theory data (PBE) for a relaxed structure of U3Te4S2.

Calculated values
V = 356.0 Å³ per cell
energy = -60.84 eV per cell
formation energy from raw total energies = -0.684 eV per atom

a = 3.9579 Å, b = 3.9579 Å, c = 26.2426 Å
α = 90.00°, β = 90.00°, γ = 120.00°
Element x y z (fractional)
1 U 0.0000 0.0000 0.0000
2 U 0.3333 0.6667 0.2756
3 U 0.3333 0.6667 0.7244
4 Te 0.0000 0.0000 0.1996
5 Te 0.0000 0.0000 0.3517
6 Te 0.0000 0.0000 0.6483
7 Te 0.0000 0.0000 0.8004
8 S 0.3333 0.6667 0.0590
9 S 0.3333 0.6667 0.9410

---

No. 5
Density functional theory data (PBE) for a relaxed structure of U4TeS5.

Calculated values
V = 278.1 Å³ per cell
energy = -80.43 eV per cell
formation energy from raw total energies = -1.150 eV per atom

a = 8.9399 Å, b = 8.9399 Å, c = 8.2295 Å
α = 106.33°, β = 106.33°, γ = 26.21°
Element x y z (fractional)
1 U 0.0030 0.0030 0.2815
2 U 0.3176 0.3176 0.8842
3 U 0.6824 0.6824 0.1158
4 U 0.9970 0.9970 0.7185
5 Te 0.5000 0.5000 0.0000
6 S 0.1609 0.1609 0.8726
7 S 0.1630 0.1630 0.3197
8 S 0.5000 0.5000 0.5000
9 S 0.8370 0.8370 0.6803
10 S 0.8391 0.8391 0.1274

---

No. 6
Density functional theory data (PBE) for a relaxed structure of UTeS.

Calculated values
V = 75.7 Å³ per cell
distance to the lowest polymorph of the same formula = 173 meV per atom
energy = -21.22 eV per cell
formation energy from raw total energies = -0.887 eV per atom

a = 4.5623 Å, b = 4.5623 Å, c = 4.2006 Å
α = 90.00°, β = 90.00°, γ = 120.00°
Element x y z (fractional)
1 U 0.0000 0.0000 0.0000
2 Te 0.6667 0.3333 0.5000
3 S 0.3333 0.6667 0.0000

---

No. 7
Density functional theory data (PBE) for a relaxed structure of ZrUTeS2.

Calculated values
V = 247.6 Å³ per cell
energy = -74.51 eV per cell
formation energy from raw total energies = -1.204 eV per atom

a = 7.5963 Å, b = 3.7710 Å, c = 9.0785 Å
α = 90.00°, β = 107.80°, γ = 90.00°
Element x y z (fractional)
1 Zr 0.1372 0.2500 0.1446
2 Zr 0.8628 0.7500 0.8554
3 U 0.2101 0.7500 0.6707
4 U 0.7899 0.2500 0.3293
5 Te 0.4465 0.7500 0.1942
6 Te 0.5535 0.2500 0.8058
7 S 0.0962 0.2500 0.8499
8 S 0.1686 0.2500 0.4462
9 S 0.8314 0.7500 0.5538
10 S 0.9038 0.7500 0.1501

---

No. 8
Density functional theory data (PBE) for a relaxed structure of V3Te4S2.

Calculated values
V = 221.8 Å³ per cell
energy = -52.02 eV per cell
formation energy from raw total energies = -0.427 eV per atom

a = 3.4255 Å, b = 3.4255 Å, c = 21.8263 Å
α = 90.00°, β = 90.00°, γ = 120.00°
Element x y z (fractional)
1 V 0.0000 0.0000 0.0000
2 V 0.3333 0.6667 0.3078
3 V 0.3333 0.6667 0.6922
4 Te 0.0000 0.0000 0.2244
5 Te 0.0000 0.0000 0.3913
6 Te 0.0000 0.0000 0.6087
7 Te 0.0000 0.0000 0.7756
8 S 0.3333 0.6667 0.0655
9 S 0.3333 0.6667 0.9345

---

No. 9
Density functional theory data (PBE) for a relaxed structure of V3Te2S4.

Calculated values
V = 192.3 Å³ per cell
energy = -55.79 eV per cell
formation energy from raw total energies = -0.627 eV per atom

a = 3.2697 Å, b = 3.2697 Å, c = 20.7657 Å
α = 90.00°, β = 90.00°, γ = 120.00°
Element x y z (fractional)
1 V 0.0000 0.0000 0.0000
2 V 0.0000 0.0000 0.3618
3 V 0.6667 0.3333 0.6674
4 Te 0.6667 0.3333 0.0922
5 Te 0.6667 0.3333 0.9076
6 S 0.0000 0.0000 0.5972
7 S 0.0000 0.0000 0.7382
8 S 0.6667 0.3333 0.2909
9 S 0.6667 0.3333 0.4321

---

No. 10
Density functional theory data (PBE) for a relaxed structure of VTeS.

Calculated values
V = 253.2 Å³ per cell
distance to the lowest polymorph of the same formula = 0 meV per atom
energy = -73.43 eV per cell
formation energy from raw total energies = -0.657 eV per atom

a = 13.3566 Å, b = 3.2643 Å, c = 6.3367 Å
α = 90.00°, β = 113.57°, γ = 90.00°
Element x y z (fractional)
1 V 0.2427 0.0000 0.1715
2 V 0.2573 0.5000 0.8285
3 V 0.7427 0.5000 0.1715
4 V 0.7573 0.0000 0.8285
5 Te 0.1282 0.0000 0.4653
6 Te 0.3718 0.5000 0.5347
7 Te 0.6282 0.5000 0.4653
8 Te 0.8718 0.0000 0.5347
9 S 0.1225 0.5000 0.9681
10 S 0.3775 0.0000 0.0319
11 S 0.6225 0.0000 0.9681
12 S 0.8775 0.5000 0.0319

---

No. 11
Density functional theory data (PBE) for a relaxed structure of V2TeS.

Calculated values
V = 210.8 Å³ per cell
distance to the lowest polymorph of the same formula = 53 meV per atom
energy = -80.46 eV per cell
formation energy from raw total energies = -0.328 eV per atom

a = 3.6158 Å, b = 3.6158 Å, c = 18.6142 Å
α = 90.00°, β = 90.00°, γ = 120.00°
Element x y z (fractional)
1 V 0.0000 0.0000 0.0000
2 V 0.0000 0.0000 0.2153
3 V 0.3333 0.6667 0.6667
4 V 0.3333 0.6667 0.8820
5 V 0.6667 0.3333 0.3333
6 V 0.6667 0.3333 0.5487
7 Te 0.0000 0.0000 0.4405
8 Te 0.3333 0.6667 0.1071
9 Te 0.6667 0.3333 0.7738
10 S 0.0000 0.0000 0.6111
11 S 0.3333 0.6667 0.2777
12 S 0.6667 0.3333 0.9444

---

No. 12
Density functional theory data (PBE) for a relaxed structure of VTeS2.

Calculated values
V = 253.8 Å³ per cell
energy = -55.67 eV per cell
formation energy from raw total energies = 0.490 eV per atom

a = 3.3703 Å, b = 3.3703 Å, c = 25.7968 Å
α = 90.00°, β = 90.00°, γ = 120.00°
Element x y z (fractional)
1 V 0.0000 0.0000 0.0000
2 V 0.3333 0.6667 0.6667
3 V 0.6667 0.3333 0.3333
4 Te 0.0000 0.0000 0.5000
5 Te 0.3333 0.6667 0.1667
6 Te 0.6667 0.3333 0.8333
7 S 0.0000 0.0000 0.0839
8 S 0.0000 0.0000 0.9161
9 S 0.3333 0.6667 0.5828
10 S 0.3333 0.6667 0.7506
11 S 0.6667 0.3333 0.2494
12 S 0.6667 0.3333 0.4172

---

No. 13
Density functional theory data (PBE) for a relaxed structure of V2TeS.

Calculated values
V = 254.7 Å³ per cell
distance to the lowest polymorph of the same formula = 334 meV per atom
energy = -102.79 eV per cell
formation energy from raw total energies = -0.048 eV per atom

a = 6.3387 Å, b = 6.3387 Å, c = 6.3387 Å
α = 90.00°, β = 90.00°, γ = 90.00°
Element x y z (fractional)
1 V 0.2500 0.2500 0.2500
2 V 0.2500 0.2500 0.7500
3 V 0.2500 0.7500 0.2500
4 V 0.2500 0.7500 0.7500
5 V 0.7500 0.2500 0.2500
6 V 0.7500 0.2500 0.7500
7 V 0.7500 0.7500 0.2500
8 V 0.7500 0.7500 0.7500
9 Te 0.0000 0.0000 0.0000
10 Te 0.0000 0.5000 0.5000
11 Te 0.5000 0.0000 0.5000
12 Te 0.5000 0.5000 0.0000
13 S 0.0000 0.0000 0.5000
14 S 0.0000 0.5000 0.0000
15 S 0.5000 0.0000 0.0000
16 S 0.5000 0.5000 0.5000